[1]
## Sc2CdHg (meta-GGA SCAN)

Data for a PBEsol-optimized structure of Sc2CdHg.

```
Sc2CdHg
1.0
4.888 0.000 0.000
2.444 4.233 0.000
2.444 1.411 3.991
Cd Sc Hg
1 2 1
Direct
0.500 0.500 0.500
0.000 0.000 0.000
0.750 0.750 0.750
0.250 0.250 0.250
```

The calculation puts the calculated total energy at -127.9 eV for the cell shown. The energy relative to the elements is -0.80 eV per formula unit. As for the crystal system: cubic.

=====

[2]
## ScCdHg2 (meta-GGA SCAN)

Data for a PBEsol-optimized structure of ScCdHg2.

```
ScCdHg2
1.0
-3.197 3.662 0.032
-2.319 1.237 -4.089
-4.751 -0.916 -0.472
Hg Cd Sc
2 1 1
Direct
0.000 0.000 0.000
0.750 0.750 0.750
0.500 0.500 0.500
0.250 0.250 0.250
```

The calculation puts the calculated total energy at -181.9 eV for the cell shown. The energy relative to the elements is -0.96 eV per formula unit. As for the crystal system: cubic.

=====

[3]
## ScCdHg2 (meta-GGA SCAN)

Data for a PBEsol-optimized structure of ScCdHg2.

```
ScCdHg2
1.0
-2.441 -1.962 0.612
2.936 -3.489 0.527
1.661 2.195 5.277
Cd Hg Sc
1 2 1
Direct
0.204 0.500 0.783
0.800 0.000 0.975
0.953 0.500 0.282
0.543 0.000 0.460
```

The calculation puts the calculated total energy at -182.2 eV for the cell shown. The energy relative to the elements is -1.21 eV per formula unit. As for the crystal system: monoclinic.

=====

[4]
## Sc2CdHg (meta-GGA SCAN)

Data for a PBEsol-optimized structure of Sc2CdHg.

```
Sc2CdHg
1.0
-1.864 -2.726 1.084
-0.602 -0.902 -3.303
5.710 -3.895 0.023
Sc Hg Cd
2 1 1
Direct
0.000 0.000 0.252
0.000 0.000 0.748
0.500 0.500 0.500
0.500 0.500 0.000
```

The calculation puts the calculated total energy at -129.3 eV for the cell shown. The energy relative to the elements is -2.22 eV per formula unit. As for the crystal system: tetragonal.

=====

[5]
## ScCdHg2 (meta-GGA SCAN)

Data for a PBEsol-optimized structure of ScCdHg2.

```
ScCdHg2
1.0
3.328 0.000 0.000
0.000 3.328 0.000
0.000 0.000 7.443
Hg Sc Cd
2 1 1
Direct
0.000 0.000 0.745
0.000 0.000 0.255
0.500 0.500 0.500
0.500 0.500 0.000
```

The calculation puts the calculated total energy at -182.4 eV for the cell shown. The energy relative to the elements is -1.41 eV per formula unit. As for the crystal system: tetragonal.

=====

[6]
## Sc2CdHg (meta-GGA SCAN)

Data for a PBEsol-optimized structure of Sc2CdHg.

```
Sc2CdHg
1.0
3.274 0.000 0.000
1.637 2.835 0.000
1.637 0.945 9.630
Sc Hg Cd
2 1 1
Direct
0.996 0.996 0.011
0.752 0.752 0.745
0.250 0.250 0.249
0.502 0.502 0.495
```

The calculation puts the calculated total energy at -127.8 eV for the cell shown. The energy relative to the elements is -0.77 eV per formula unit. As for the crystal system: trigonal.

=====

[7]
## Sc2CdHg (meta-GGA SCAN)

Data for a PBEsol-optimized structure of Sc2CdHg.

```
Sc2CdHg
1.0
-0.073 -4.467 -2.025
3.184 -3.420 1.489
-1.573 -3.848 2.603
Cd Hg Sc
1 1 2
Direct
0.500 0.500 0.500
0.000 0.000 0.000
0.750 0.750 0.750
0.250 0.250 0.250
```

The calculation puts the calculated total energy at -129.3 eV for the cell shown. The energy relative to the elements is -2.22 eV per formula unit. As for the crystal system: cubic.

=====

[8]
## ScCdHg2 (meta-GGA SCAN)

Data for a PBEsol-optimized structure of ScCdHg2.

```
ScCdHg2
1.0
3.375 0.000 0.000
0.000 5.144 -0.073
-1.688 -1.375 4.891
Hg Cd Sc
2 1 1
Direct
0.250 0.721 0.499
0.996 0.026 0.992
0.748 0.226 0.496
0.506 0.528 0.012
```

The calculation puts the calculated total energy at -182.1 eV for the cell shown. The energy relative to the elements is -1.13 eV per formula unit. As for the crystal system: monoclinic.

=====

[9]
## ScCdHg (meta-GGA SCAN)

Data for a PBEsol-optimized structure of ScCdHg.

```
ScCdHg
1.0
-3.073 0.481 0.583
-1.134 -2.658 -3.783
0.493 -2.033 4.275
Sc Cd Hg
1 1 1
Direct
0.334 0.667 0.333
0.833 0.000 0.000
0.833 0.333 0.667
```

The calculation puts the calculated total energy at -114.1 eV for the cell shown. The energy relative to the elements is -1.26 eV per formula unit. As for the crystal system: hexagonal.

=====

[10]
## ScCdHg2 (meta-GGA SCAN)

Data for a PBEsol-optimized structure of ScCdHg2.

```
ScCdHg2
1.0
-1.136 -3.023 1.041
4.931 0.133 0.237
-1.477 2.237 4.886
Hg Sc Cd
2 1 1
Direct
0.248 0.496 0.245
0.752 0.504 0.755
0.500 0.000 0.000
0.000 0.000 0.500
```

The calculation puts the calculated total energy at -182.2 eV for the cell shown. The energy relative to the elements is -1.25 eV per formula unit. As for the crystal system: monoclinic.

=====

[11]
## ScCdHg (meta-GGA SCAN)

Data for a PBEsol-optimized structure of ScCdHg.

```
ScCdHg
1.0
-2.334 -1.480 1.929
3.030 -1.427 -0.373
2.262 3.404 5.348
Hg Sc Cd
1 1 1
Direct
0.333 0.667 0.662
0.667 0.333 0.339
0.000 0.000 0.999
```

The calculation puts the calculated total energy at -113.6 eV for the cell shown. The energy relative to the elements is -0.78 eV per formula unit. As for the crystal system: trigonal.

=====

[12]
## CdHg4Se5 (meta-GGA SCAN)

Data for a PBEsol-optimized structure of CdHg4Se5.

```
CdHg4Se5
1.0
4.331 0.000 0.000
0.000 4.331 0.000
-2.165 -2.165 15.294
Cd Se Hg
1 5 4
Direct
0.500 0.500 0.000
0.750 0.250 0.500
0.150 0.650 0.299
0.951 0.451 0.902
0.350 0.850 0.701
0.549 0.049 0.098
0.300 0.300 0.600
0.901 0.901 0.801
0.700 0.700 0.400
0.099 0.099 0.199
```

The formation energy (no corrections) comes out at -292 meV/atom. The calculation puts the calculated total energy at -406.4 eV for the cell shown. As for the crystal system: tetragonal.

=====

What is the calculated total energy in the second record? -181.9 eV for the cell shown